Here is crystalline MnTeP2 at its relaxed geometry from the Alexandria database. Energies are from PBE.

Computed properties:
The magnetization comes out at 3.8 μB/f.u. Its raw formation energy is 0.60 eV per atom.

Cell: 3.5922 5.8132 3.8438 Å, 90.00 90.00 90.00°
With the nearest neighbours (Å) after each atom.
Sites, in units of the cell vectors:
1 Mn 0.0000 0.5000 0.5000  4 P 2.63
2 Te 0.5000 0.0000 0.5000  4 P 2.63
3 P 0.5000 0.5000 0.0000  4 Mn 2.63
4 P 0.0000 0.0000 0.0000  4 Te 2.63

***

Here is crystalline ZrAlFe at its relaxed geometry from the Alexandria database. Energies are from PBE.

Computed properties:
As for the formation energy: 0.08 eV/atom. The magnetization comes out at 2.4 μB/f.u.

Cell: 2.8853 2.8853 7.0127 Å, 90.00 90.00 120.00°
With the nearest neighbours (Å) after each atom.
Sites, in units of the cell vectors:
1 Fe 0.3333 0.6667 0.3137  3 Al 2.62, 6 Fe 2.89
2 Al 0.0000 0.0000 0.0256  3 Fe 2.62, 6 Al 2.89
3 Zr 0.6667 0.3333 0.6607  6 Zr 2.89, 3 Fe 2.95, 3 Al 3.05

***

Here is crystalline BeP2Br at its relaxed geometry from the Alexandria database. Energies are from PBE.

Computed properties:
The magnetization comes out at 0.0 μB/f.u. Its raw formation energy is 0.04 eV per atom. The value obtained for the energy above the most stable polymorph in this dataset is 275 meV per atom.

Cell: 3.1903 3.1903 8.1242 Å, 90.00 90.00 90.00°
With the nearest neighbours (Å) after each atom.
Sites, in units of the cell vectors:
1 P 0.0000 0.0000 0.2412  1 Be 2.11
2 Br 0.5000 0.5000 0.6162  4 Be 2.44
3 Be 0.0000 0.0000 0.5011  1 P 2.11
4 P 0.5000 0.5000 0.1414  4 P 2.40